1.
# Zr4Tc2Sn PBE relaxed
# Total moment, μB/cell: 0.00
# SG: I4/mmm (139)
# Calculated formation energy, kJ/mol of formula units: 571
data_Zr4Tc2Sn
_space_group_name_H-M_alt 'P 1'
_space_group_IT_number 1
_space_group_name_Hall 'P 1'
_cell_length_a 7.458
_cell_length_b 7.458
_cell_length_c 7.458
_cell_angle_alpha 138.28
_cell_angle_beta 138.28
_cell_angle_gamma 60.48
loop_
_atom_site_label
_atom_site_type_symbol
_atom_site_fract_x
_atom_site_fract_y
_atom_site_fract_z
_atom_site_occupancy
Zr1 Zr 0.000 0.500 0.500 1
Zr2 Zr 0.216 0.216 0.000 1
Zr3 Zr 0.500 0.000 0.500 1
Zr4 Zr 0.784 0.784 0.000 1
Tc1 Tc 0.405 0.405 0.000 1
Tc2 Tc 0.595 0.595 0.000 1
Sn1 Sn 0.000 0.000 0.000 1

2.
# ZrTcSn PBE relaxed
# Total moment, μB/cell: 0.00
# Distance to the lowest polymorph of the same formula, meV/atom: 0.0
# SG: I4/mmm (139)
# Calculated formation energy, kJ/mol of formula units: -111
data_ZrTcSn
_space_group_name_H-M_alt 'P 1'
_space_group_IT_number 1
_space_group_name_Hall 'P 1'
_cell_length_a 7.367
_cell_length_b 7.367
_cell_length_c 7.367
_cell_angle_alpha 145.68
_cell_angle_beta 145.68
_cell_angle_gamma 49.32
loop_
_atom_site_label
_atom_site_type_symbol
_atom_site_fract_x
_atom_site_fract_y
_atom_site_fract_z
_atom_site_occupancy
Zr1 Zr 0.132 0.132 0.000 1
Zr2 Zr 0.868 0.868 0.000 1
Tc1 Tc 0.000 0.500 0.500 1
Tc2 Tc 0.500 0.000 0.500 1
Sn1 Sn 0.366 0.366 0.000 1
Sn2 Sn 0.634 0.634 0.000 1

3.
# ZrTcSn2 PBE relaxed
# Total moment, μB/cell: 0.00
# Distance to the lowest polymorph of the same formula, meV/atom: 0.0
# SG: P4/mmm (123)
# Calculated formation energy, kJ/mol of formula units: -54
data_ZrTcSn2
_space_group_name_H-M_alt 'P 1'
_space_group_IT_number 1
_space_group_name_Hall 'P 1'
_cell_length_a 3.308
_cell_length_b 3.308
_cell_length_c 7.250
_cell_angle_alpha 90.00
_cell_angle_beta 90.00
_cell_angle_gamma 90.00
loop_
_atom_site_label
_atom_site_type_symbol
_atom_site_fract_x
_atom_site_fract_y
_atom_site_fract_z
_atom_site_occupancy
Zr1 Zr 0.000 0.000 0.000 1
Tc1 Tc 0.000 0.000 0.500 1
Sn1 Sn 0.500 0.500 0.283 1
Sn2 Sn 0.500 0.500 0.717 1

4.
# ZrTc2Sn PBE relaxed
# Total moment, μB/cell: 1.22
# SG: I-42d (122)
# Calculated formation energy, kJ/mol of formula units: 245
data_ZrTc2Sn
_space_group_name_H-M_alt 'P 1'
_space_group_IT_number 1
_space_group_name_Hall 'P 1'
_cell_length_a 5.917
_cell_length_b 5.917
_cell_length_c 5.917
_cell_angle_alpha 104.28
_cell_angle_beta 104.28
_cell_angle_gamma 120.45
loop_
_atom_site_label
_atom_site_type_symbol
_atom_site_fract_x
_atom_site_fract_y
_atom_site_fract_z
_atom_site_occupancy
Zr1 Zr 0.000 0.000 0.000 1
Zr2 Zr 0.750 0.250 0.500 1
Tc1 Tc 0.123 0.125 0.498 1
Tc2 Tc 0.375 0.877 0.002 1
Tc3 Tc 0.627 0.625 0.502 1
Tc4 Tc 0.875 0.373 0.998 1
Sn1 Sn 0.250 0.750 0.500 1
Sn2 Sn 0.500 0.500 0.000 1

5.
# Zr2TcSn2 PBE relaxed
# Total moment, μB/cell: 0.83
# SG: P4/mbm (127)
# Calculated formation energy, kJ/mol of formula units: -121
data_Zr2TcSn2
_space_group_name_H-M_alt 'P 1'
_space_group_IT_number 1
_space_group_name_Hall 'P 1'
_cell_length_a 7.085
_cell_length_b 7.085
_cell_length_c 4.218
_cell_angle_alpha 90.00
_cell_angle_beta 90.00
_cell_angle_gamma 90.00
loop_
_atom_site_label
_atom_site_type_symbol
_atom_site_fract_x
_atom_site_fract_y
_atom_site_fract_z
_atom_site_occupancy
Zr1 Zr 0.166 0.334 0.000 1
Zr2 Zr 0.334 0.834 0.000 1
Zr3 Zr 0.666 0.166 0.000 1
Zr4 Zr 0.834 0.666 0.000 1
Tc1 Tc 0.000 0.000 0.500 1
Tc2 Tc 0.500 0.500 0.500 1
Sn1 Sn 0.142 0.642 0.500 1
Sn2 Sn 0.358 0.142 0.500 1
Sn3 Sn 0.642 0.858 0.500 1
Sn4 Sn 0.858 0.358 0.500 1

6.
# ZrTcSn2 PBE relaxed
# Total moment, μB/cell: 0.00
# Distance to the lowest polymorph of the same formula, meV/atom: 114.7
# SG: Fm-3m (225)
# Calculated formation energy, kJ/mol of formula units: -9
data_ZrTcSn2
_space_group_name_H-M_alt 'P 1'
_space_group_IT_number 1
_space_group_name_Hall 'P 1'
_cell_length_a 4.823
_cell_length_b 4.823
_cell_length_c 4.823
_cell_angle_alpha 60.00
_cell_angle_beta 60.00
_cell_angle_gamma 60.00
loop_
_atom_site_label
_atom_site_type_symbol
_atom_site_fract_x
_atom_site_fract_y
_atom_site_fract_z
_atom_site_occupancy
Zr1 Zr 0.000 0.000 0.000 1
Tc1 Tc 0.500 0.500 0.500 1
Sn1 Sn 0.250 0.250 0.250 1
Sn2 Sn 0.750 0.750 0.750 1

7.
# Zr2Tc2Sn PBE relaxed
# Total moment, μB/cell: 0.00
# SG: P4/mbm (127)
# Calculated formation energy, kJ/mol of formula units: -72
data_Zr2Tc2Sn
_space_group_name_H-M_alt 'P 1'
_space_group_IT_number 1
_space_group_name_Hall 'P 1'
_cell_length_a 7.351
_cell_length_b 7.351
_cell_length_c 3.635
_cell_angle_alpha 90.00
_cell_angle_beta 90.00
_cell_angle_gamma 90.00
loop_
_atom_site_label
_atom_site_type_symbol
_atom_site_fract_x
_atom_site_fract_y
_atom_site_fract_z
_atom_site_occupancy
Zr1 Zr 0.188 0.312 0.000 1
Zr2 Zr 0.312 0.812 0.000 1
Zr3 Zr 0.688 0.188 0.000 1
Zr4 Zr 0.812 0.688 0.000 1
Tc1 Tc 0.113 0.613 0.500 1
Tc2 Tc 0.387 0.113 0.500 1
Tc3 Tc 0.613 0.887 0.500 1
Tc4 Tc 0.887 0.387 0.500 1
Sn1 Sn 0.000 0.000 0.500 1
Sn2 Sn 0.500 0.500 0.500 1

8.
# ZrTcSn PBE relaxed
# Total moment, μB/cell: 0.00
# Distance to the lowest polymorph of the same formula, meV/atom: 152.6
# SG: I4mm (107)
# Calculated formation energy, kJ/mol of formula units: -67
data_ZrTcSn
_space_group_name_H-M_alt 'P 1'
_space_group_IT_number 1
_space_group_name_Hall 'P 1'
_cell_length_a 5.491
_cell_length_b 5.491
_cell_length_c 5.491
_cell_angle_alpha 143.75
_cell_angle_beta 143.75
_cell_angle_gamma 52.20
loop_
_atom_site_label
_atom_site_type_symbol
_atom_site_fract_x
_atom_site_fract_y
_atom_site_fract_z
_atom_site_occupancy
Zr1 Zr 0.000 0.000 0.000 1
Tc1 Tc 0.345 0.345 0.000 1
Sn1 Sn 0.692 0.692 0.000 1